NaInS2: optimized geometry, PBE.

Results
Final energy (eV for the cell shown): -31.48
Space group: P2_1 (4)
Formation energy (no corrections) (eV per atom): -0.857
Magnetization (μB per formula unit): 0.0
Crystal system: monoclinic

Cell: 7.9968 3.9532 6.7338 Å, 89.99 89.99 75.67°
Fractional coordinates of all 8 atoms:
S 0.0734 0.9120 0.6640
S 0.5552 0.1719 0.7029
S 0.2733 0.3115 0.2030
Na 0.0461 0.9255 0.0847
In 0.5682 0.1648 0.0719
Na 0.7824 0.5584 0.5846
S 0.7551 0.5712 0.1639
In 0.2603 0.3184 0.5719